{"formula": "PmTm3Ru4", "functional": "PBE", "state": "optimized geometry", "cell": [[4.785, 0.000, 0.000], [0.000, 6.785, 0.000], [0.000, 0.000, 9.572]], "species": ["Ru", "Ru", "Tm", "Tm", "Tm", "Tm", "Ru", "Ru", "Pm", "Ru", "Tm", "Ru", "Tm", "Pm", "Ru", "Ru"], "frac_coords": [[0.000, 0.755, 0.250], [0.500, 0.245, 0.000], [0.500, 0.500, 0.250], [0.500, 0.500, 0.750], [0.000, 0.000, 0.500], [0.000, 0.000, 0.000], [0.000, 0.245, 0.250], [0.500, 0.245, 0.500], [0.000, 0.500, 0.000], [0.500, 0.755, 0.000], [0.500, 0.000, 0.250], [0.000, 0.245, 0.750], [0.500, 0.000, 0.750], [0.000, 0.500, 0.500], [0.000, 0.755, 0.750], [0.500, 0.755, 0.500]], "formation_enthalpy_0k_mev_per_atom": -332, "spacegroup": "P4/mmm, No. 123", "crystal_system": "tetragonal", "n_ef_per_ev_atom": 1.12}